Entry 1:
# Sr4LiAg (GGA-PBE, optimized geometry)
# total DFT energy (no corrections) = -2.00 eV per atom
# calculated formation energy = -80 meV per atom
# volume = 243.2 Å³ per cell
data_Sr4LiAg
_chemical_formula_sum 'Sr4 Li1 Ag1'
_symmetry_space_group_name_H-M 'P 1'
_symmetry_Int_Tables_number 1
_symmetry_space_group_name_Hall 'P 1'
_cell_length_a 4.110
_cell_length_b 4.110
_cell_length_c 14.397
_cell_angle_alpha 90.00
_cell_angle_beta 90.00
_cell_angle_gamma 90.00
loop_
_atom_site_label
_atom_site_fract_x
_atom_site_fract_y
_atom_site_fract_z
_atom_site_occupancy
Sr1 0.000 0.000 0.131 1
Sr2 0.000 0.000 0.869 1
Sr3 0.500 0.500 0.352 1
Sr4 0.500 0.500 0.648 1
Li1 0.000 0.000 0.500 1
Ag1 0.500 0.500 0.000 1

---

Entry 2:
# DyTm2Lu (GGA-PBE, optimized geometry)
# total DFT energy (no corrections) = -4.49 eV per atom
# calculated formation energy = 30 meV per atom
# volume = 120.0 Å³ per cell
data_DyTm2Lu
_chemical_formula_sum 'Dy1 Tm2 Lu1'
_symmetry_space_group_name_H-M 'P 1'
_symmetry_Int_Tables_number 1
_symmetry_space_group_name_Hall 'P 1'
_cell_length_a 11.537
_cell_length_b 11.537
_cell_length_c 11.537
_cell_angle_alpha 17.41
_cell_angle_beta 17.41
_cell_angle_gamma 17.41
loop_
_atom_site_label
_atom_site_fract_x
_atom_site_fract_y
_atom_site_fract_z
_atom_site_occupancy
Dy1 0.000 0.000 0.000 1
Tm1 0.249 0.249 0.249 1
Tm2 0.751 0.751 0.751 1
Lu1 0.500 0.500 0.500 1

---

Entry 3:
# Tb4Pd (GGA-PBE, optimized geometry)
# total DFT energy (no corrections) = -4.85 eV per atom
# calculated formation energy = -105 meV per atom
# volume = 164.8 Å³ per cell
data_Tb4Pd
_chemical_formula_sum 'Tb4 Pd1'
_symmetry_space_group_name_H-M 'P 1'
_symmetry_Int_Tables_number 1
_symmetry_space_group_name_Hall 'P 1'
_cell_length_a 5.483
_cell_length_b 5.483
_cell_length_c 5.483
_cell_angle_alpha 90.00
_cell_angle_beta 90.00
_cell_angle_gamma 90.00
loop_
_atom_site_label
_atom_site_fract_x
_atom_site_fract_y
_atom_site_fract_z
_atom_site_occupancy
Tb1 0.000 0.000 0.000 1
Tb2 0.000 0.500 0.500 1
Tb3 0.500 0.000 0.500 1
Tb4 0.500 0.500 0.000 1
Pd1 0.500 0.500 0.500 1

---

Entry 4:
# CeZrCd2 (GGA-PBE, optimized geometry)
# total DFT energy (no corrections) = -4.21 eV per atom
# calculated formation energy = -135 meV per atom
# volume = 93.3 Å³ per cell
data_CeZrCd2
_chemical_formula_sum 'Ce1 Zr1 Cd2'
_symmetry_space_group_name_H-M 'P 1'
_symmetry_Int_Tables_number 1
_symmetry_space_group_name_Hall 'P 1'
_cell_length_a 3.159
_cell_length_b 3.159
_cell_length_c 9.349
_cell_angle_alpha 90.00
_cell_angle_beta 90.00
_cell_angle_gamma 90.00
loop_
_atom_site_label
_atom_site_fract_x
_atom_site_fract_y
_atom_site_fract_z
_atom_site_occupancy
Ce1 0.000 0.000 0.000 1
Zr1 0.000 0.000 0.500 1
Cd1 0.500 0.500 0.267 1
Cd2 0.500 0.500 0.733 1

---

Entry 5:
# CaY2Mg2 (GGA-PBE, optimized geometry)
# total DFT energy (no corrections) = -3.59 eV per atom
# calculated formation energy = 34 meV per atom
# volume = 305.5 Å³ per cell
data_CaY2Mg2
_chemical_formula_sum 'Ca2 Y4 Mg4'
_symmetry_space_group_name_H-M 'P 1'
_symmetry_Int_Tables_number 1
_symmetry_space_group_name_Hall 'P 1'
_cell_length_a 9.254
_cell_length_b 9.254
_cell_length_c 3.567
_cell_angle_alpha 90.00
_cell_angle_beta 90.00
_cell_angle_gamma 90.00
loop_
_atom_site_label
_atom_site_fract_x
_atom_site_fract_y
_atom_site_fract_z
_atom_site_occupancy
Ca1 0.000 0.000 0.000 1
Ca2 0.500 0.500 0.000 1
Y1 0.127 0.373 0.000 1
Y2 0.373 0.873 0.000 1
Y3 0.627 0.127 0.000 1
Y4 0.873 0.627 0.000 1
Mg1 0.168 0.668 0.500 1
Mg2 0.332 0.168 0.500 1
Mg3 0.668 0.832 0.500 1
Mg4 0.832 0.332 0.500 1

---

Entry 6:
# Y3InW (GGA-PBE, optimized geometry)
# total DFT energy (no corrections) = -6.53 eV per atom
# calculated formation energy = 484 meV per atom
# volume = 157.9 Å³ per cell
data_Y3InW
_chemical_formula_sum 'Y3 In1 W1'
_symmetry_space_group_name_H-M 'P 1'
_symmetry_Int_Tables_number 1
_symmetry_space_group_name_Hall 'P 1'
_cell_length_a 5.405
_cell_length_b 5.405
_cell_length_c 5.405
_cell_angle_alpha 90.00
_cell_angle_beta 90.00
_cell_angle_gamma 90.00
loop_
_atom_site_label
_atom_site_fract_x
_atom_site_fract_y
_atom_site_fract_z
_atom_site_occupancy
Y1 0.000 0.000 0.500 1
Y2 0.000 0.500 0.000 1
Y3 0.500 0.000 0.000 1
In1 0.500 0.500 0.500 1
W1 0.000 0.000 0.000 1